Computed, not measured: Sc3Al2Re after structural relaxation at the PBE level of DFT.

a b c (Å): 6.611 6.611 5.546
angles (deg): 90.00 90.00 103.89
Fractional coordinates of all 12 atoms:
Sc 0.049 0.591 0.250
Sc 0.076 0.924 0.750
Sc 0.409 0.951 0.250
Sc 0.591 0.049 0.750
Sc 0.924 0.076 0.250
Sc 0.951 0.409 0.750
Al 0.334 0.334 0.000
Al 0.334 0.334 0.500
Al 0.666 0.666 0.000
Al 0.666 0.666 0.500
Re 0.323 0.677 0.750
Re 0.677 0.323 0.250

## Properties
Density of states at the Fermi level: 12.946 states/eV/cell
Space group: Cmcm
E_form: -0.220 eV per atom
Spin magnetization: 0.0 μB/f.u.
Volume: 235 Å³ per cell